[1]
Material: Mg2Cu2Ir
Method: DFT, GGA-PBE
State: relaxed

Magnetic moment   0.00 μB/cell
Formation energy   0.1607 eV/atom
SG   P4/mbm, No. 127
E_tot   -38.879 eV per cell

abc: 7.1037 7.1037 2.9422
angles: 90.00 90.00 90.00
Fractional positions:
Mg1 0.3492 0.8492 0.0000
Mg2 0.8492 0.6508 0.0000
Mg3 0.6508 0.1508 0.0000
Mg4 0.1508 0.3492 0.0000
Ir1 0.0000 0.0000 0.0000
Ir2 0.5000 0.5000 0.0000
Cu1 0.1480 0.6480 0.5000
Cu2 0.6480 0.8520 0.5000
Cu3 0.8520 0.3520 0.5000
Cu4 0.3520 0.1480 0.5000


[2]
Material: PuPaMnN4
Method: DFT, GGA-PBE
State: relaxed

Magnetic moment   5.46 μB/cell
E_form (uncorrected)   -1.0477 eV/atom
SG   I4mm, No. 107
E_tot   -73.633 eV per cell

abc: 3.7114 3.7114 6.5510
angles: 106.46 106.46 90.00
Last column: magnetic moment on the atom in μB.
Fractional positions:
Pu1 0.6419 0.6419 0.2839  4.56
Pa1 0.3616 0.3616 0.7233  0.21
Mn1 0.9938 0.9938 0.9875  0.91
N1 0.9975 0.4975 0.9950  -0.06
N2 0.4975 0.9975 0.9950  -0.06
N3 0.8263 0.8263 0.6527  -0.10
N4 0.1813 0.1813 0.3626  -0.12


[3]
Material: GdHoErAl
Method: DFT, GGA-PBE
State: relaxed

Magnetic moment   8.03 μB/cell
Formation energy   -0.0646 eV/atom
SG   F-43m, No. 216
E_tot   -27.222 eV per cell

abc: 5.3292 5.3292 5.3292
angles: 60.00 60.00 60.00
Last column: magnetic moment on the atom in μB.
Fractional positions:
Al1 0.2500 0.2500 0.2500  -0.01
Gd1 0.5000 0.5000 0.5000  7.25
Ho1 0.7500 0.7500 0.7500  0.26
Er1 0.0000 0.0000 0.0000  0.18